(1)
! RbCr2TePd PBE optimized geometry; values from VASP
! Total DFT energy (no corrections) (eV/atom): -3.968
! M_tot (μB/f.u.): 10.4
! DOS(E_F) (states/eV/f.u.): 2.1
! Formation energy from raw total energies (eV per atom): 1.742
! Space group: P4/mmm (123)
&SYSTEM
  ibrav = 0, nat = 5, ntyp = 4
/
ATOMIC_SPECIES
Cr 52.00 Cr.upf
Te 127.60 Te.upf
Rb 85.47 Rb.upf
Pd 106.42 Pd.upf
CELL_PARAMETERS angstrom
-1.588 1.137 5.207
4.144 -2.269 1.759
2.740 4.834 -0.220
ATOMIC_POSITIONS crystal
Cr 0.000 0.000 0.500
Cr 0.500 0.000 0.000
Te 0.500 0.500 0.500
Rb 0.000 0.000 0.000
Pd 0.000 0.500 0.000

(2)
! RbCrPdW2 PBE optimized geometry; values from VASP
! Total DFT energy (no corrections) (eV/atom): -6.311
! M_tot (μB/f.u.): 0.3
! DOS(E_F) (states/eV/f.u.): 5.5
! Space group: P4/mmm (123)
&SYSTEM
  ibrav = 0, nat = 5, ntyp = 4
/
ATOMIC_SPECIES
Cr 52.00 Cr.upf
Rb 85.47 Rb.upf
Pd 106.42 Pd.upf
W 183.84 W.upf
CELL_PARAMETERS angstrom
-0.763 -4.777 1.048
1.884 -1.323 -4.659
4.550 -0.304 1.926
ATOMIC_POSITIONS crystal
Cr 0.000 0.500 0.000
Rb 0.500 0.500 0.500
Pd 0.000 0.000 0.000
W 0.000 0.000 0.500
W 0.500 0.000 0.000